(1)
NdDy2HoEr4: relaxed, PBE.

Its space-group type is C2/c. For the total energy, the calculation gives -4.158 eV/atom. For the formation energy, the calculation gives 3.5 eV per formula unit. For the theoretical density, the calculation gives 8.27 g/cm3.

```
16
Lattice="6.760 -6.614 0.000 6.760 6.614 0.000 -3.383 0.000 5.856" Properties=species:S:1:pos:R:3 pbc="T T T"
Nd 3.380 3.307 0.000
Nd 1.688 -3.307 2.928
Dy 0.000 0.000 0.000
Dy -1.692 0.000 2.928
Dy 1.688 3.307 2.928
Dy 3.380 -3.307 0.000
Ho 6.760 0.000 0.000
Ho 5.068 0.000 2.928
Er 1.696 0.017 2.925
Er 5.064 3.302 2.936
Er 3.380 3.302 5.849
Er 0.004 -0.017 5.853
Er 10.132 0.017 0.003
Er 6.756 -3.302 0.008
Er 5.072 -3.302 2.921
Er 8.440 -0.017 2.931
```



(2)
BaTlCd4In2: relaxed, PBE.

Its space-group type is R-3m. For the total energy, the calculation gives -1.795 eV/atom. For the formation energy, the calculation gives -0.9 eV per formula unit. For the theoretical density, the calculation gives 7.33 g/cm3.

```
8
Lattice="2.557 1.476 10.209 -2.557 1.476 10.209 0.000 -2.952 10.209" Properties=species:S:1:pos:R:3 pbc="T T T"
Ba 0.000 0.000 0.000
Tl 0.000 0.000 15.313
Cd 0.000 0.000 3.873
Cd 0.000 0.000 12.164
Cd 0.000 0.000 18.461
Cd 0.000 0.000 26.753
In 0.000 0.000 7.652
In 0.000 0.000 22.974
```